LaTa3Se (meta-GGA SCAN, single point on PBEsol structure); mass density = 10.7 Mg/m³; DOS at the Fermi energy = 1.00 states/eV/atom; E_form (uncorrected) = 2.470 eV per atom; space group = Pm-3m
1.0
4.8998 0.0000 0.0000
0.0000 4.8998 0.0000
0.0000 0.0000 4.8998
La Se Ta
1 1 3
direct
0.0000 0.0000 0.0000 La
0.5000 0.5000 0.5000 Se
0.0000 0.5000 0.0000 Ta
0.0000 0.0000 0.5000 Ta
0.5000 0.0000 0.0000 Ta

***

InCoAu2 (meta-GGA SCAN, single point on PBEsol structure); DFT formation energy = 10 meV per atom; mass density = 14.5 Mg/m³; DOS at the Fermi energy = 0.32 states/eV/atom; space group = P1
1.0
-1.2402 -1.2033 -2.6328
3.5507 -2.9060 1.5483
-3.8079 -1.3184 2.3933
Co Au In
1 2 1
direct
0.4994 0.9984 0.5087 Co
0.0012 0.0026 0.0002 Au
0.2390 0.4779 0.7315 Au
0.7606 0.5211 0.2596 In

***

CuReO4 (meta-GGA SCAN, single point on PBEsol structure); mass density = 8.1 Mg/m³; DOS at the Fermi energy = 0.04 states/eV/atom; E_form (uncorrected) = -1.354 eV per atom; space group = P-1
1.0
4.6164 0.0202 0.1823
-0.1598 4.8610 0.0060
-0.2308 -0.0117 5.7028
Cu Re O
2 2 8
direct
0.4996 0.7500 0.6720 Cu
0.5004 0.2500 0.3280 Cu
0.9997 0.2500 0.8228 Re
0.0003 0.7500 0.1772 Re
0.2198 0.9382 0.8936 O
0.2587 0.4038 0.6276 O
0.2201 0.4382 0.1068 O
0.2589 0.9039 0.3730 O
0.7411 0.0961 0.6270 O
0.7799 0.5618 0.8932 O
0.7413 0.5962 0.3724 O
0.7802 0.0618 0.1064 O

***

LaY2Sc (meta-GGA SCAN, single point on PBEsol structure); DFT formation energy = 77 meV per atom; excess energy over the best structure of this formula in the dataset = 8 meV per atom; mass density = 5.0 Mg/m³; DOS at the Fermi energy = 1.11 states/eV/atom; space group = P4mm
1.0
-0.4270 -3.1742 -2.2499
-1.0488 -2.0857 3.1416
-7.4786 1.8875 -1.2436
Y Sc La
2 1 1
direct
0.0000 0.0000 0.9767 Y
0.5000 0.5000 0.2416 Y
0.5000 0.5000 0.7607 Sc
0.0000 0.0000 0.5210 La

***

Sb2AsBr (meta-GGA SCAN, single point on PBEsol structure); excess energy over the best structure of this formula in the dataset = 0 meV per atom; mass density = 4.9 Mg/m³; E_form (uncorrected) = 0.002 eV per atom; space group = Cm
1.0
-2.7601 -2.5192 0.4872
5.0804 -2.8523 -0.5416
-0.2034 1.4702 6.4495
Sb As Br
2 1 1
direct
0.9638 0.9276 0.9321 Sb
0.2833 0.5665 0.6100 Sb
0.5247 0.0494 0.6829 As
0.7282 0.4565 0.2751 Br

***

CaCrCo2 (meta-GGA SCAN, single point on PBEsol structure); DFT formation energy = 701 meV per atom; excess energy over the best structure of this formula in the dataset = 133 meV per atom; mass density = 6.0 Mg/m³; DOS at the Fermi energy = 0.57 states/eV/atom; space group = F-43m
1.0
-3.5334 2.1251 -1.3654
-3.4984 -2.2178 -1.3068
-3.6040 0.0037 2.4240
Cr Ca Co
1 1 2
direct
0.2500 0.2500 0.2500 Cr
0.5000 0.5000 0.5000 Ca
0.0000 0.0000 0.0000 Co
0.7500 0.7500 0.7500 Co

***

K3YSi3O10 (meta-GGA SCAN, single point on PBEsol structure); mass density = 3.0 Mg/m³; E_form (uncorrected) = -2.700 eV per atom; space group = Pnma
1.0
5.9082 0.0000 0.0000
0.0000 12.8026 0.0000
0.0000 0.0000 13.1674
K Y Si O
12 4 12 40
direct
0.9430 0.7500 0.3645 K
0.5570 0.7500 0.8645 K
0.0570 0.2500 0.6355 K
0.4430 0.2500 0.1355 K
0.5708 0.5175 0.3593 K
0.9292 0.9825 0.8593 K
0.4292 0.0175 0.6407 K
0.0708 0.4825 0.1407 K
0.4292 0.4825 0.6407 K
0.0708 0.0175 0.1407 K
0.5708 0.9825 0.3593 K
0.9292 0.5175 0.8593 K
0.5679 0.2500 0.4739 Y
0.9321 0.2500 0.9739 Y
0.4321 0.7500 0.5261 Y
0.0679 0.7500 0.0261 Y
0.5808 0.5897 0.0834 Si
0.9192 0.9103 0.5834 Si
0.4192 0.0897 0.9166 Si
0.0808 0.4103 0.4166 Si
0.4192 0.4103 0.9166 Si
0.0808 0.0897 0.4166 Si
0.5808 0.9103 0.0834 Si
0.9192 0.5897 0.5834 Si
0.9163 0.2500 0.2627 Si
0.5837 0.2500 0.7627 Si
0.0837 0.7500 0.7373 Si
0.4163 0.7500 0.2373 Si
0.8507 0.1257 0.4783 O
0.6493 0.3743 0.9783 O
0.1493 0.6257 0.5217 O
0.3507 0.8743 0.0217 O
0.1493 0.8743 0.5217 O
0.3507 0.6257 0.0217 O
0.8507 0.3743 0.4783 O
0.6493 0.1257 0.9783 O
0.3138 0.1235 0.4712 O
0.1862 0.3765 0.9712 O
0.6862 0.6235 0.5288 O
0.8138 0.8765 0.0288 O
0.6862 0.8765 0.5288 O
0.8138 0.6235 0.0288 O
0.3138 0.3765 0.4712 O
0.1862 0.1235 0.9712 O
0.0700 0.9660 0.3805 O
0.4300 0.5340 0.8805 O
0.9300 0.4660 0.6195 O
0.5700 0.0340 0.1195 O
0.9300 0.0340 0.6195 O
0.5700 0.4660 0.1195 O
0.0700 0.5340 0.3805 O
0.4300 0.9660 0.8805 O
0.0635 0.1467 0.3029 O
0.4365 0.3533 0.8029 O
0.9365 0.6467 0.6971 O
0.5635 0.8533 0.1971 O
0.9365 0.8533 0.6971 O
0.5635 0.6467 0.1971 O
0.0635 0.3533 0.3029 O
0.4365 0.1467 0.8029 O
0.6658 0.2500 0.3112 O
0.8342 0.2500 0.8112 O
0.3342 0.7500 0.6888 O
0.1658 0.7500 0.1888 O
0.9343 0.2500 0.1408 O
0.5657 0.2500 0.6408 O
0.0657 0.7500 0.8592 O
0.4343 0.7500 0.3592 O

***

Ho2PdRh (meta-GGA SCAN, single point on PBEsol structure); DFT formation energy = -1021 meV per atom; mass density = 11.5 Mg/m³; DOS at the Fermi energy = 0.42 states/eV/atom; space group = Fm-3m
1.0
-2.9042 -3.7958 -0.3859
1.2724 -3.7234 -2.7400
1.2186 -4.1676 2.0339
Rh Ho Pd
1 2 1
direct
0.0000 0.0000 0.0000 Rh
0.2500 0.2500 0.2500 Ho
0.7500 0.7500 0.7500 Ho
0.5000 0.5000 0.5000 Pd